#P
## PmDy3Tl2 (PBE)

Data for PmDy3Tl2 after structural relaxation.

Cell: 5.4001 9.2936 9.3083 Å, 124.44 90.00 106.89°
Positions (direct):
Pm 0.8693 0.7385 0.9102
Pm 0.1307 0.2615 0.0898
Dy 0.6162 0.2324 0.6900
Dy 0.3067 0.6133 0.6058
Dy 0.3838 0.7676 0.3100
Dy 0.6933 0.3867 0.3942
Dy 0.0594 0.1189 0.4039
Dy 0.9406 0.8811 0.5961
Tl 0.4808 0.9617 0.1341
Tl 0.5192 0.0383 0.8659
Tl 0.7774 0.5547 0.1480
Tl 0.2226 0.4453 0.8520

***

#Q
## PmDy3Tl2 (PBE)

Data for PmDy3Tl2 after structural relaxation.

Cell: 5.1334 6.8345 10.0492 Å, 90.00 90.00 90.00°
Positions (direct):
Tl 0.5000 0.2093 0.1328
Tl 0.5000 0.7093 0.8672
Tl 0.0000 0.7884 0.3635
Tl 0.0000 0.2884 0.6365
Dy 0.0000 0.8267 0.6908
Dy 0.5000 0.1720 0.8166
Dy 0.0000 0.3267 0.3092
Dy 0.0000 0.4548 0.9562
Dy 0.0000 0.9548 0.0438
Dy 0.5000 0.6720 0.1834
Pm 0.5000 0.0487 0.4573
Pm 0.5000 0.5487 0.5427

***

#Q comes first in stability; the runner-up is 99 meV/atom higher.

***

#P
## Pm3Dy2Tl4 (PBE)

Data for Pm3Dy2Tl4 after structural relaxation.

Cell: 7.3293 9.8669 8.6194 Å, 90.00 115.16 90.00°
Positions (direct):
Tl 0.7419 0.7500 0.9837
Tl 0.3030 0.4762 0.6060
Tl 0.7581 0.2500 0.0163
Tl 0.1970 0.9762 0.3940
Tl 0.2581 0.2500 0.0163
Tl 0.2419 0.7500 0.9837
Tl 0.8030 0.0238 0.6060
Tl 0.6970 0.5238 0.3940
Dy 0.6053 0.9474 0.2106
Dy 0.8947 0.4474 0.7894
Dy 0.1053 0.5526 0.2106
Dy 0.3947 0.0526 0.7894
Pm 0.4664 0.2500 0.4327
Pm 0.0336 0.7500 0.5673
Pm 0.9664 0.2500 0.4327
Pm 0.0000 0.0000 0.0000
Pm 0.5000 0.5000 0.0000
Pm 0.5336 0.7500 0.5673

***

#Q
## Pm3Dy2Tl4 (PBE)

Data for Pm3Dy2Tl4 after structural relaxation.

Cell: 5.3729 5.3696 10.5203 Å, 90.04 90.00 59.98°
Positions (direct):
Tl 0.3336 0.3327 0.1015
Tl 0.0001 0.9999 0.3435
Tl 0.9999 0.0001 0.6565
Tl 0.6664 0.6673 0.8985
Pm 0.3334 0.3331 0.4214
Pm 0.0000 0.0000 0.0000
Pm 0.6666 0.6669 0.5786
Dy 0.6670 0.6659 0.2217
Dy 0.3330 0.3341 0.7783

***

#Q comes first in stability; the runner-up is 118 meV/atom higher.

***

#P
## Pm8Dy2Tl (PBE)

Data for Pm8Dy2Tl after structural relaxation.

Cell: 5.0439 8.0713 9.5000 Å, 105.07 105.39 90.00°
Positions (direct):
Dy 0.7758 0.3662 0.5516
Dy 0.2242 0.6338 0.4484
Pm 0.3205 0.0913 0.6409
Pm 0.0449 0.7254 0.0899
Pm 0.1368 0.1797 0.2735
Pm 0.9551 0.2746 0.9101
Pm 0.4095 0.5567 0.8189
Pm 0.6795 0.9087 0.3591
Pm 0.5905 0.4433 0.1811
Pm 0.8632 0.8203 0.7265
Tl 0.5000 0.0000 0.0000

***

#Q
## Pm8Dy2Tl (PBE)

Data for Pm8Dy2Tl after structural relaxation.

Cell: 5.5705 7.6724 9.9562 Å, 112.66 106.25 90.00°
Positions (direct):
Pm 0.1799 0.1799 0.3597
Pm 0.0000 0.7390 0.0000
Pm 0.8201 0.8201 0.6403
Pm 0.6373 0.4096 0.2746
Pm 0.6373 0.8650 0.2747
Pm 0.0000 0.2610 0.0000
Pm 0.3627 0.5904 0.7254
Pm 0.3627 0.1349 0.7253
Dy 0.8076 0.3076 0.6151
Dy 0.1924 0.6924 0.3849
Tl 0.5000 0.0000 0.0000

***

#P comes first in stability; the runner-up is 65 meV/atom higher.

***

#P
## PmDy2Tl2 (PBE)

Data for PmDy2Tl2 after structural relaxation.

Cell: 6.2424 5.9756 9.8004 Å, 65.82 66.94 69.04°
Positions (direct):
Tl 0.7582 0.1873 0.5141
Tl 0.2407 0.8010 0.9899
Tl 0.2418 0.8127 0.4859
Tl 0.7593 0.1990 0.0101
Pm 0.1703 0.2199 0.6547
Pm 0.8297 0.7801 0.3453
Dy 0.4992 0.4994 0.2500
Dy 0.8294 0.7874 0.8478
Dy 0.1706 0.2126 0.1522
Dy 0.5008 0.5006 0.7500

***

#Q
## PmDy2Tl2 (PBE)

Data for PmDy2Tl2 after structural relaxation.

Cell: 3.7904 5.4452 14.2249 Å, 90.00 97.68 90.00°
Positions (direct):
Tl 0.6435 0.7500 0.2886
Tl 0.3565 0.2500 0.7114
Tl 0.4522 0.7500 0.9058
Tl 0.5478 0.2500 0.0942
Dy 0.2368 0.7500 0.4739
Dy 0.7632 0.2500 0.5261
Dy 0.0496 0.7500 0.0992
Dy 0.9504 0.2500 0.9008
Pm 0.1472 0.2500 0.2973
Pm 0.8528 0.7500 0.7027

***

#Q comes first in stability; the runner-up is 25 meV/atom higher.

***

#P
## Pm2Dy5Tl (PBE)

Data for Pm2Dy5Tl after structural relaxation.

Cell: 4.9724 7.0490 14.1201 Å, 90.00 90.00 90.00°
Positions (direct):
Dy 0.5000 0.7432 0.6247
Dy 0.0000 0.5055 0.2429
Dy 0.0000 0.5000 0.5000
Dy 0.0000 0.4945 0.7571
Dy 0.5000 0.2432 0.8753
Dy 0.5000 0.7568 0.1247
Dy 0.0000 0.0000 0.0000
Dy 0.0000 0.0055 0.2571
Dy 0.0000 0.9945 0.7429
Dy 0.5000 0.2568 0.3753
Pm 0.5000 0.2536 0.6277
Pm 0.5000 0.7464 0.3723
Pm 0.5000 0.7536 0.8723
Pm 0.5000 0.2464 0.1277
Tl 0.0000 0.5000 0.0000
Tl 0.0000 0.0000 0.5000

***

#Q
## Pm2Dy5Tl (PBE)

Data for Pm2Dy5Tl after structural relaxation.

Cell: 3.5546 6.7440 11.2454 Å, 107.45 99.10 89.99°
Positions (direct):
Dy 0.3866 0.6373 0.7731
Dy 0.6136 0.8642 0.2269
Dy 0.6134 0.3627 0.2269
Dy 0.3864 0.1358 0.7731
Dy 0.0000 0.5000 0.0000
Tl 0.0000 0.0000 0.0000
Pm 0.7605 0.2606 0.5212
Pm 0.2395 0.7394 0.4788

***

#P comes first in stability; the runner-up is 70 meV/atom higher.

***

#P
## PmDy3Tl (PBE)

Data for PmDy3Tl after structural relaxation.

Cell: 5.5631 8.2973 6.8642 Å, 94.88 90.59 82.33°
Positions (direct):
Dy 0.8159 0.4308 0.9192
Dy 0.8434 0.5146 0.4530
Dy 0.3358 0.3798 0.1702
Dy 0.4354 0.9220 0.9824
Dy 0.4078 0.8383 0.4485
Dy 0.9154 0.9730 0.7313
Pm 0.3598 0.2237 0.6377
Pm 0.8915 0.1291 0.2638
Tl 0.9650 0.7517 0.1549
Tl 0.2862 0.6010 0.7466

***

#Q
## PmDy3Tl (PBE)

Data for PmDy3Tl after structural relaxation.

Cell: 6.1313 6.1313 6.1313 Å, 108.75 108.75 108.75°
Positions (direct):
Dy 0.2250 0.2250 0.7251
Dy 0.7251 0.2250 0.2250
Dy 0.2250 0.7251 0.2250
Tl 0.2249 0.2249 0.2249
Pm 0.7249 0.7249 0.7249

***

#P comes first in stability; the runner-up is 482 meV/atom higher.

***

#P
## Pm2DyTl4 (PBE)

Data for Pm2DyTl4 after structural relaxation.

Cell: 6.5944 6.5944 6.5944 Å, 104.96 111.78 111.78°
Positions (direct):
Tl 0.0000 0.0000 0.5000
Tl 0.5000 0.0000 0.0000
Tl 0.0000 0.5000 0.0000
Tl 0.5000 0.5000 0.5000
Dy 0.0000 0.0000 0.0000
Pm 0.5000 0.5000 0.0000
Pm 0.5000 0.0000 0.5000

***

#Q
## Pm2DyTl4 (PBE)

Data for Pm2DyTl4 after structural relaxation.

Cell: 5.3338 7.9017 10.3709 Å, 90.00 90.00 90.00°
Positions (direct):
Tl 0.0000 0.2500 0.7500
Tl 0.5000 0.7884 0.5000
Tl 0.5000 0.7116 0.0000
Tl 0.0000 0.7500 0.7500
Tl 0.5000 0.2116 0.5000
Tl 0.0000 0.7500 0.2500
Tl 0.5000 0.2884 0.0000
Tl 0.0000 0.2500 0.2500
Pm 0.5000 0.0000 0.7888
Pm 0.5000 0.5000 0.7112
Pm 0.5000 0.5000 0.2888
Pm 0.5000 0.0000 0.2112
Dy 0.0000 0.5000 0.0000
Dy 0.0000 0.0000 0.5000

***

#Q comes first in stability; the runner-up is 15 meV/atom higher.

***

#P
## Pm3DyTl (PBE)

Data for Pm3DyTl after structural relaxation.

Cell: 5.4854 8.5836 7.0254 Å, 90.00 90.00 90.00°
Positions (direct):
Pm 0.2500 0.2500 0.7119
Pm 0.7500 0.9401 0.7756
Pm 0.2500 0.4401 0.2244
Pm 0.7500 0.7500 0.2881
Pm 0.7500 0.5599 0.7756
Pm 0.2500 0.0599 0.2244
Tl 0.7500 0.2500 0.0137
Tl 0.2500 0.7500 0.9863
Dy 0.2500 0.7500 0.5589
Dy 0.7500 0.2500 0.4411

***

#Q
## Pm3DyTl (PBE)

Data for Pm3DyTl after structural relaxation.

Cell: 4.8878 4.8965 13.1243 Å, 90.00 79.27 90.00°
Positions (direct):
Pm 0.5734 0.2500 0.5016
Pm 0.7718 0.2500 0.1047
Pm 0.3773 0.2500 0.8937
Pm 0.0750 0.7500 0.4984
Pm 0.8765 0.7500 0.8953
Pm 0.2710 0.7500 0.1063
Dy 0.4750 0.7500 0.6984
Dy 0.1734 0.2500 0.3016
Tl 0.6710 0.7500 0.3064
Tl 0.9774 0.2500 0.6936

***

#Q comes first in stability; the runner-up is 68 meV/atom higher.

***

#P
## Pm6Dy3Tl (PBE)

Data for Pm6Dy3Tl after structural relaxation.

Cell: 3.6167 12.3767 14.8505 Å, 93.87 90.00 90.00°
Positions (direct):
Pm 0.7500 0.6196 0.4537
Pm 0.2500 0.6992 0.2509
Pm 0.2500 0.5636 0.8906
Pm 0.7500 0.1903 0.3927
Pm 0.2500 0.8097 0.6073
Pm 0.2500 0.2048 0.1881
Pm 0.7500 0.3008 0.7491
Pm 0.7500 0.4364 0.1094
Pm 0.2500 0.8874 0.9971
Pm 0.7500 0.7952 0.8119
Pm 0.2500 0.3804 0.5463
Pm 0.7500 0.1126 0.0029
Dy 0.2500 0.1003 0.5819
Dy 0.7500 0.5737 0.6811
Dy 0.2500 0.4263 0.3189
Dy 0.2500 0.0520 0.8033
Dy 0.7500 0.8997 0.4181
Dy 0.7500 0.9480 0.1967
Tl 0.2500 0.3114 0.9414
Tl 0.7500 0.6886 0.0586

***

#Q
## Pm6Dy3Tl (PBE)

Data for Pm6Dy3Tl after structural relaxation.

Cell: 3.5569 12.9129 14.4952 Å, 100.62 90.00 90.00°
Positions (direct):
Dy 0.2500 0.9278 0.8947
Dy 0.2500 0.5788 0.0965
Dy 0.7500 0.4212 0.9035
Dy 0.2500 0.3697 0.4990
Dy 0.7500 0.0722 0.1053
Dy 0.7500 0.6303 0.5010
Tl 0.7500 0.0315 0.7283
Tl 0.2500 0.9685 0.2717
Pm 0.2500 0.1897 0.9271
Pm 0.7500 0.7685 0.7137
Pm 0.2500 0.5114 0.3090
Pm 0.2500 0.8884 0.5358
Pm 0.7500 0.4886 0.6910
Pm 0.2500 0.6577 0.8834
Pm 0.7500 0.8103 0.0729
Pm 0.2500 0.2315 0.2863
Pm 0.2500 0.2467 0.6964
Pm 0.7500 0.7533 0.3036
Pm 0.7500 0.3423 0.1166
Pm 0.7500 0.1116 0.4642

***

#Q comes first in stability; the runner-up is 7 meV/atom higher.

***

#P
## Pm2Dy2Tl (PBE)

Data for Pm2Dy2Tl after structural relaxation.

Cell: 8.5729 6.4048 9.0638 Å, 69.25 58.03 47.99°
Positions (direct):
Dy 0.6090 0.0000 0.1127
Dy 0.3910 0.0000 0.8873
Dy 0.2759 0.0000 0.5693
Dy 0.7241 0.0000 0.4307
Tl 0.8311 0.3377 0.0000
Tl 0.1689 0.6623 0.0000
Pm 0.3216 0.6279 0.2868
Pm 0.0505 0.6279 0.7132
Pm 0.6784 0.3721 0.7132
Pm 0.9495 0.3721 0.2868

***

#Q
## Pm2Dy2Tl (PBE)

Data for Pm2Dy2Tl after structural relaxation.

Cell: 5.4820 5.4820 12.2402 Å, 90.00 90.00 120.00°
Positions (direct):
Pm 0.3333 0.6667 0.5855
Pm 0.6667 0.3333 0.4145
Pm 0.6667 0.3333 0.0855
Pm 0.3333 0.6667 0.9145
Tl 0.0000 0.0000 0.7500
Tl 0.0000 0.0000 0.2500
Dy 0.0000 0.0000 0.5000
Dy 0.3333 0.6667 0.2500
Dy 0.6667 0.3333 0.7500
Dy 0.0000 0.0000 0.0000

***

#P comes first in stability; the runner-up is 52 meV/atom higher.